{"formula": "Si3Sb", "functional": "PBE-GGA", "state": "optimized geometry", "cell": [[4.633, 0.012, 0.000], [-0.634, 4.590, 0.000], [0.000, 0.000, 3.462]], "species": ["Sb", "Si", "Si", "Si"], "fractional_positions": [[0.000, 0.000, 0.000], [0.500, 0.500, 0.000], [0.500, 0.000, 0.500], [0.000, 0.500, 0.500]], "raw_formation_energy_ev_per_atom": 0.6301, "density_g_cm3": 4.6, "volume_a3_per_cell": 73.6, "sg": "Cmmm"}